1.
106
Lattice="-4.3356 -10.0996 1.7796 8.3791 3.6597 6.3533 -11.5510 6.9388 11.2373" Properties=species:S:1:pos:R:3 comment="U6Nb4Al43 GGA-PBE optimized geometry" dos_ef_per_ev_cell=86.576 ef_ev_per_atom=-0.21 pbc="T T T"
Al -4.2298 -3.6956 4.7829
Al -10.1743 5.0862 12.9831
Al -1.6476 2.2764 3.7496
Al -5.5720 -5.2698 6.7901
Al -10.1822 0.5449 13.1151
Al -8.9362 -1.9288 12.5519
Al -3.8001 1.6399 5.6309
Al -3.9719 6.9920 14.5611
Al -0.1684 1.6619 9.0209
Al -4.9680 -7.6834 2.7857
Al -12.3572 -3.4007 9.9442
Al -3.5294 0.2399 3.0727
Al -11.6507 -1.3176 11.7990
Al -2.7074 2.7828 9.1964
Al 5.7087 3.8704 6.6262
Al -9.3455 -3.8419 7.2769
Al 4.1431 1.8165 7.5712
Al -1.5636 -4.6324 4.7306
Al -5.9439 5.1313 14.6396
Al -6.2243 -1.6754 12.7683
Al -2.2415 -2.2895 3.5437
Al 3.0681 -0.6866 3.5777
Al -5.3475 3.6633 10.3730
Al 0.1182 6.3994 10.6811
Al -1.8611 -2.3709 6.3998
Al 2.1068 3.0398 9.5522
Al -7.4937 0.8708 12.3059
Al -9.6143 -2.5408 9.8180
Al -3.5357 -6.4931 4.8091
Al -8.0889 -5.8087 5.8218
Al -7.3392 -1.1630 10.3493
Al 2.5879 5.7451 9.6623
Al -4.4066 -2.9245 7.4964
Al -14.4352 -0.7845 12.2283
Al -0.0721 -4.0849 2.4482
Al 5.2389 0.2615 5.2237
Al -3.2297 1.5652 13.8455
Al -8.8807 6.7281 10.9643
Al 1.7995 1.1417 1.9580
Al -9.4252 2.6775 11.6197
Al 2.3445 0.3680 9.0315
Al -1.2833 2.1743 6.6019
Al -1.9356 5.7687 12.5801
Al -7.7978 2.6480 7.1952
Al 1.9176 -2.1786 7.7505
Al -7.3889 1.4543 9.6387
Al -2.8645 -5.2689 7.1578
Al -0.5367 3.7309 10.8423
Al -3.1009 3.4235 11.8738
Al -4.6431 5.7678 12.2124
Al -1.5243 8.3222 13.8409
Al -8.0648 4.2510 9.6317
Al -0.1237 -4.3876 7.0162
Al 4.1156 -2.3551 5.6847
Al -10.9186 4.5227 10.2313
Al -0.1187 -0.9553 9.7315
Al -9.8521 0.1309 10.3387
Al -3.2778 4.1945 14.5873
Al 0.7531 0.9511 4.6209
Al -4.2779 -1.0663 5.5247
Al 2.6667 -4.5873 6.3871
Al -1.1954 -6.7014 2.9092
Al 1.4287 2.4278 6.8183
Al -6.8283 0.7338 16.7753
Al -0.6793 -0.2349 2.5949
Al 0.5573 -3.7521 9.7385
Al -2.1601 -3.1644 8.9972
Al -5.7599 4.8534 7.9283
Al -3.7075 -1.1409 13.7393
Al -5.2660 2.7885 15.8265
Al -2.4230 -1.5299 11.3385
Al -3.2902 4.1991 6.9095
Al -4.8001 -2.2839 10.1738
Al 2.6746 -0.0459 6.2552
Al -5.8477 -0.6154 8.0668
Al 0.9754 -5.7533 4.5552
Al -6.9709 -3.2320 8.5279
Al -8.2606 -0.4522 14.7493
Al -0.0139 -0.3719 7.0643
Al -7.3838 4.8866 12.3540
Al -6.5411 0.6811 5.7401
Al -5.0846 2.0288 8.0317
Al -1.4515 -2.3763 0.7886
Al -4.9714 9.4568 15.6325
Al -5.6464 2.8699 12.9704
Al -1.6599 1.1144 11.3034
U -8.8651 -0.7399 7.4602
U -6.5310 8.0736 13.2786
U -12.6014 1.5045 11.0950
U -3.2853 -4.6653 1.9219
U 0.9109 -2.4621 4.8748
U 3.3591 2.5249 4.3120
U -7.0216 -2.4208 5.5567
U -4.6821 0.7166 10.8606
U -2.7947 5.8291 9.6438
U -0.3772 4.7694 7.9468
U -2.8254 -0.2177 8.5096
U -8.4184 2.9610 14.4954
Nb -5.7755 3.4694 5.6187
Nb -5.7285 0.5299 14.3310
Nb 0.0000 0.0000 0.0000
Nb -6.0346 -5.5957 4.1010
Nb 3.1939 4.3910 7.4206
Nb -9.8520 2.4350 8.9159
Nb -6.3659 6.2075 10.1699
Nb -1.7791 -0.0310 5.0392



2.
4
Lattice="3.2802 0.0000 0.0000 1.6401 2.8407 0.0000 1.6401 0.9469 8.2952" Properties=species:S:1:pos:R:3 comment="UNb2Al GGA-PBE optimized geometry" dos_ef_per_ev_cell=6.686 ef_ev_per_atom=0.34 pbc="T T T"
U 0.0000 0.0000 0.0000
Nb 4.9202 2.8407 6.2580
Nb 1.6401 0.9469 2.0372
Al 3.2802 1.8938 4.1476